VASP calculation (meta-GGA SCAN) on BaBeFe2 at its PBEsol-relaxed geometry.

## Properties
DOS(E_F), states/eV/atom: 0.642
Size of the total moment, μB per formula unit: 4.63
Space-group type: No. 10
Calculated total energy, eV per formula unit: -75.33
Formation energy from the elements, eV per atom: 1.2079

CIF file:
```
data_BaBeFe2
_space_group_name_H-M_alt 'P 1'
_space_group_IT_number 1
_cell_length_a 4.608
_cell_length_b 3.106
_cell_length_c 4.788
_cell_angle_alpha 90.00
_cell_angle_beta 109.38
_cell_angle_gamma 90.00
loop_
_space_group_symop_operation_xyz
'x,y,z'
loop_
_atom_site_label
_atom_site_type_symbol
_atom_site_fract_x
_atom_site_fract_y
_atom_site_fract_z
Ba1 Ba 0.000 0.000 0.000
Be1 Be 0.000 0.500 0.500
Fe1 Fe 0.500 0.000 0.500
Fe2 Fe 0.500 0.500 0.000
```

***

VASP calculation (meta-GGA SCAN) on BaBe2Fe at its PBEsol-relaxed geometry.

## Properties
DOS(E_F), states/eV/atom: 0.569
Size of the total moment, μB per formula unit: 3.20
Space-group type: No. 123
Calculated total energy, eV per formula unit: -61.73
Formation energy from the elements, eV per atom: 1.1641

CIF file:
```
data_BaBe2Fe
_space_group_name_H-M_alt 'P 1'
_space_group_IT_number 1
_cell_length_a 4.878
_cell_length_b 4.878
_cell_length_c 2.888
_cell_angle_alpha 90.00
_cell_angle_beta 90.00
_cell_angle_gamma 90.00
loop_
_space_group_symop_operation_xyz
'x,y,z'
loop_
_atom_site_label
_atom_site_type_symbol
_atom_site_fract_x
_atom_site_fract_y
_atom_site_fract_z
Ba1 Ba 0.000 0.000 0.000
Be1 Be 0.000 0.500 0.500
Be2 Be 0.500 0.000 0.500
Fe1 Fe 0.500 0.500 0.000
```

***

VASP calculation (meta-GGA SCAN) on BaBe3Fe at its PBEsol-relaxed geometry.

## Properties
DOS(E_F), states/eV/atom: 0.870
Size of the total moment, μB per formula unit: 3.51
Space-group type: No. 221
Calculated total energy, eV per formula unit: -57.63
Formation energy from the elements, eV per atom: 2.6213

CIF file:
```
data_BaBe3Fe
_space_group_name_H-M_alt 'P 1'
_space_group_IT_number 1
_cell_length_a 4.856
_cell_length_b 4.856
_cell_length_c 4.856
_cell_angle_alpha 90.00
_cell_angle_beta 90.00
_cell_angle_gamma 90.00
loop_
_space_group_symop_operation_xyz
'x,y,z'
loop_
_atom_site_label
_atom_site_type_symbol
_atom_site_fract_x
_atom_site_fract_y
_atom_site_fract_z
Ba1 Ba 0.000 0.000 0.000
Be1 Be 0.000 0.000 0.500
Be2 Be 0.000 0.500 0.000
Be3 Be 0.500 0.000 0.000
Fe1 Fe 0.500 0.500 0.500
```

***

VASP calculation (meta-GGA SCAN) on BaBe4Fe at its PBEsol-relaxed geometry.

## Properties
DOS(E_F), states/eV/atom: 0.472
Size of the total moment, μB per formula unit: 2.04
Space-group type: No. 216
Calculated total energy, eV per formula unit: -70.88
Formation energy from the elements, eV per atom: 0.7031

CIF file:
```
data_BaBe4Fe
_space_group_name_H-M_alt 'P 1'
_space_group_IT_number 1
_cell_length_a 4.855
_cell_length_b 4.855
_cell_length_c 4.855
_cell_angle_alpha 60.00
_cell_angle_beta 60.00
_cell_angle_gamma 60.00
loop_
_space_group_symop_operation_xyz
'x,y,z'
loop_
_atom_site_label
_atom_site_type_symbol
_atom_site_fract_x
_atom_site_fract_y
_atom_site_fract_z
Ba1 Ba 0.000 0.000 0.000
Be1 Be 0.383 0.383 0.383
Be2 Be 0.383 0.383 0.850
Be3 Be 0.383 0.850 0.383
Be4 Be 0.850 0.383 0.383
Fe1 Fe 0.750 0.750 0.750
```

***

- Which value of calculated total energy does entry 2 give?
  -61.73 eV per formula unit

***

- Among the records above, which one has the highest calculated total energy?
  BaBe3Fe

***

- Which value of calculated total energy does entry 2 give?
  -61.73 eV per formula unit

***

- What is the size of the total moment in the fourth record?
  2.04 μB per formula unit